A plane-wave DFT calculation with PBE was carried out for a relaxed PuHfRe4 crystal.

a b c (Å): 5.350 5.350 5.350
angles (deg): 60.00 60.00 60.00
Fractional positions:
1 Re 0.124 0.625 0.625
2 Hf 0.000 0.000 0.000
3 Pu 0.250 0.250 0.250
4 Re 0.625 0.625 0.625
5 Re 0.625 0.124 0.625
6 Re 0.625 0.625 0.124

- Energy: -12.471 eV per atom
- Crystal system: cubic
- Calculated density: 17.90 g/cm³
- E_form: -0.1246 eV/atom
- Total magnetic moment: 5.38 μB per cell
- Volume: 18.05 Å³ per atom

=====

A plane-wave DFT calculation with PBE was carried out for a relaxed PuHfReTc crystal.

a b c (Å): 4.687 4.687 4.687
angles (deg): 60.00 60.00 60.00
Fractional positions:
1 Tc 0.500 0.500 0.500
2 Pu 0.750 0.750 0.750
3 Re 0.000 0.000 0.000
4 Hf 0.250 0.250 0.250

- Energy: -11.893 eV per atom
- Crystal system: cubic
- Calculated density: 16.12 g/cm³
- E_form: -0.1185 eV/atom
- Total magnetic moment: 3.97 μB per cell
- Volume: 18.20 Å³ per atom

=====

A plane-wave DFT calculation with PBE was carried out for a relaxed PuHfZrRe crystal.

a b c (Å): 4.836 4.836 4.836
angles (deg): 60.00 60.00 60.00
Fractional positions:
1 Zr 0.250 0.250 0.250
2 Re 0.000 0.000 0.000
3 Hf 0.750 0.750 0.750
4 Pu 0.500 0.500 0.500

- Energy: -11.211 eV per atom
- Crystal system: cubic
- Calculated density: 14.54 g/cm³
- E_form: 0.1093 eV/atom
- Total magnetic moment: 5.00 μB per cell
- Volume: 19.99 Å³ per atom